Entry 1:
Below is crystalline Rb2PdI6 at its relaxed geometry, with properties calculated at the PBE-GGA level.

Cell lengths 8.453, 12.495, 14.704 Å; angles 90.00, 90.00, 90.00 degrees
Element x y z (fractional)
1 Rb 0.201 0.015 0.142
2 Rb 0.201 0.485 0.142
3 Rb 0.299 0.515 0.642
4 Rb 0.299 0.985 0.642
5 Rb 0.701 0.015 0.358
6 Rb 0.701 0.485 0.358
7 Rb 0.799 0.515 0.858
8 Rb 0.799 0.985 0.858
9 Pd 0.238 0.250 0.404
10 Pd 0.262 0.750 0.904
11 Pd 0.738 0.250 0.096
12 Pd 0.762 0.750 0.596
13 I 0.015 0.250 0.782
14 I 0.017 0.250 0.006
15 I 0.017 0.750 0.701
16 I 0.066 0.250 0.588
17 I 0.242 0.036 0.396
18 I 0.242 0.464 0.396
19 I 0.258 0.536 0.896
20 I 0.258 0.964 0.896
21 I 0.434 0.750 0.088
22 I 0.483 0.250 0.201
23 I 0.483 0.750 0.506
24 I 0.485 0.750 0.282
25 I 0.515 0.250 0.718
26 I 0.517 0.250 0.494
27 I 0.517 0.750 0.799
28 I 0.566 0.250 0.912
29 I 0.742 0.036 0.104
30 I 0.742 0.464 0.104
31 I 0.758 0.536 0.604
32 I 0.758 0.964 0.604
33 I 0.934 0.750 0.412
34 I 0.983 0.250 0.299
35 I 0.983 0.750 0.994
36 I 0.985 0.750 0.218

Summary:
Space group   Pnma (62)
Uncorrected formation energy   -0.75 eV/atom
Magnetic moment   0.000 μB/f.u.

Entry 2:
Below is crystalline Rb12Pd3I5 at its relaxed geometry, with properties calculated at the PBE-GGA level.

Cell lengths 18.228, 18.228, 18.228 Å; angles 109.47, 109.47, 109.47 degrees
Element x y z (fractional)
1 Rb 0.065 0.235 0.139
2 Rb 0.065 0.331 0.927
3 Rb 0.073 0.639 0.404
4 Rb 0.073 0.935 0.669
5 Rb 0.096 0.735 0.669
6 Rb 0.096 0.861 0.427
7 Rb 0.139 0.065 0.235
8 Rb 0.139 0.573 0.904
9 Rb 0.169 0.235 0.596
10 Rb 0.169 0.435 0.573
11 Rb 0.235 0.139 0.065
12 Rb 0.235 0.596 0.169
13 Rb 0.265 0.331 0.904
14 Rb 0.265 0.435 0.361
15 Rb 0.331 0.904 0.265
16 Rb 0.331 0.927 0.065
17 Rb 0.361 0.265 0.435
18 Rb 0.361 0.596 0.927
19 Rb 0.404 0.073 0.639
20 Rb 0.404 0.831 0.765
21 Rb 0.427 0.096 0.861
22 Rb 0.427 0.831 0.565
23 Rb 0.435 0.361 0.265
24 Rb 0.435 0.573 0.169
25 Rb 0.565 0.427 0.831
26 Rb 0.565 0.639 0.735
27 Rb 0.573 0.169 0.435
28 Rb 0.573 0.904 0.139
29 Rb 0.596 0.169 0.235
30 Rb 0.596 0.927 0.361
31 Rb 0.639 0.404 0.073
32 Rb 0.639 0.735 0.565
33 Rb 0.669 0.073 0.935
34 Rb 0.669 0.096 0.735
35 Rb 0.735 0.565 0.639
36 Rb 0.735 0.669 0.096
37 Rb 0.765 0.404 0.831
38 Rb 0.765 0.861 0.935
39 Rb 0.831 0.565 0.427
40 Rb 0.831 0.765 0.404
41 Rb 0.861 0.427 0.096
42 Rb 0.861 0.935 0.765
43 Rb 0.904 0.139 0.573
44 Rb 0.904 0.265 0.331
45 Rb 0.927 0.065 0.331
46 Rb 0.927 0.361 0.596
47 Rb 0.935 0.669 0.073
48 Rb 0.935 0.765 0.861
49 Pd 0.125 0.250 0.375
50 Pd 0.125 0.375 0.750
51 Pd 0.250 0.375 0.125
52 Pd 0.250 0.875 0.625
53 Pd 0.375 0.125 0.250
54 Pd 0.375 0.750 0.125
55 Pd 0.625 0.250 0.875
56 Pd 0.625 0.875 0.750
57 Pd 0.750 0.125 0.375
58 Pd 0.750 0.625 0.875
59 Pd 0.875 0.625 0.250
60 Pd 0.875 0.750 0.625
61 I 0.000 0.000 0.000
62 I 0.000 0.000 0.500
63 I 0.000 0.500 0.000
64 I 0.000 0.500 0.500
65 I 0.125 0.750 0.875
66 I 0.125 0.875 0.250
67 I 0.250 0.125 0.875
68 I 0.250 0.625 0.375
69 I 0.375 0.250 0.625
70 I 0.375 0.625 0.750
71 I 0.500 0.000 0.000
72 I 0.500 0.000 0.500
73 I 0.500 0.500 0.000
74 I 0.500 0.500 0.500
75 I 0.625 0.375 0.250
76 I 0.625 0.750 0.375
77 I 0.750 0.375 0.625
78 I 0.750 0.875 0.125
79 I 0.875 0.125 0.750
80 I 0.875 0.250 0.125

Summary:
Space group   Ia-3d (230)
Uncorrected formation energy   -0.59 eV/atom
Magnetic moment   0.592 μB/f.u.
N(E_F)   5.2 states/eV/f.u.

Entry 3:
Below is crystalline RbPd2I at its relaxed geometry, with properties calculated at the PBE-GGA level.

Cell lengths 9.574, 9.574, 9.574 Å; angles 145.71, 145.71, 49.27 degrees
Element x y z (fractional)
1 Rb 0.375 0.625 0.750
2 Rb 0.625 0.375 0.250
3 Pd 0.000 0.000 0.000
4 Pd 0.000 0.000 0.500
5 Pd 0.000 0.500 0.000
6 Pd 0.500 0.000 0.500
7 I 0.125 0.875 0.250
8 I 0.875 0.125 0.750

Summary:
Space group   I4_1/amd (141)
Uncorrected formation energy   -0.21 eV/atom
Magnetic moment   0.000 μB/f.u.
N(E_F)   0.2 states/eV/f.u.

Entry 4:
Below is crystalline RbPd2I8 at its relaxed geometry, with properties calculated at the PBE-GGA level.

Cell lengths 10.554, 10.554, 6.046 Å; angles 90.00, 90.00, 136.78 degrees
Element x y z (fractional)
1 Rb 0.000 0.000 0.000
2 Pd 0.253 0.747 0.500
3 Pd 0.747 0.253 0.500
4 I 0.084 0.394 0.500
5 I 0.249 0.751 0.000
6 I 0.394 0.084 0.500
7 I 0.500 0.500 0.247
8 I 0.500 0.500 0.753
9 I 0.606 0.916 0.500
10 I 0.751 0.249 0.000
11 I 0.916 0.606 0.500

Summary:
Space group   Cmmm (65)
Uncorrected formation energy   -0.28 eV/atom
Magnetic moment   0.000 μB/f.u.
N(E_F)   8.0 states/eV/f.u.

Entry 5:
Below is crystalline RbPd2I6 at its relaxed geometry, with properties calculated at the PBE-GGA level.

Cell lengths 7.347, 7.347, 8.189 Å; angles 90.00, 90.00, 120.00 degrees
Element x y z (fractional)
1 Rb 0.000 0.000 0.000
2 Pd 0.333 0.667 0.500
3 Pd 0.667 0.333 0.500
4 I 0.000 0.380 0.696
5 I 0.000 0.620 0.304
6 I 0.380 0.000 0.696
7 I 0.380 0.380 0.304
8 I 0.620 0.000 0.304
9 I 0.620 0.620 0.696

Summary:
Space group   P-31m (162)
Uncorrected formation energy   -0.37 eV/atom
Magnetic moment   2.662 μB/f.u.
N(E_F)   6.2 states/eV/f.u.

Entry 6:
Below is crystalline Rb4PdI5 at its relaxed geometry, with properties calculated at the PBE-GGA level.

Cell lengths 8.717, 8.717, 8.717 Å; angles 100.62, 100.62, 129.16 degrees
Element x y z (fractional)
1 Rb 0.089 0.703 0.792
2 Rb 0.297 0.089 0.386
3 Rb 0.703 0.911 0.614
4 Rb 0.911 0.297 0.208
5 Pd 0.469 0.469 0.000
6 I 0.059 0.059 0.000
7 I 0.255 0.423 0.669
8 I 0.423 0.755 0.169
9 I 0.586 0.255 0.831
10 I 0.755 0.586 0.331

Summary:
Space group   I4 (79)
Uncorrected formation energy   -1.08 eV/atom
Magnetic moment   1.015 μB/f.u.
N(E_F)   2.7 states/eV/f.u.

Entry 7:
Below is crystalline Rb2PdI5 at its relaxed geometry, with properties calculated at the PBE-GGA level.

Cell lengths 7.804, 7.804, 7.804 Å; angles 115.30, 115.30, 98.36 degrees
Element x y z (fractional)
1 Rb 0.000 0.500 0.500
2 Rb 0.500 0.000 0.500
3 Pd 0.225 0.225 0.000
4 I 0.025 0.025 0.545
5 I 0.025 0.480 0.000
6 I 0.480 0.025 0.000
7 I 0.480 0.480 0.455
8 I 0.954 0.954 0.000

Summary:
Space group   I4mm (107)
Uncorrected formation energy   -0.81 eV/atom
Magnetic moment   0.000 μB/f.u.
N(E_F)   3.4 states/eV/f.u.

Entry 8:
Below is crystalline Rb5PdI6 at its relaxed geometry, with properties calculated at the PBE-GGA level.

Cell lengths 8.958, 8.958, 8.857 Å; angles 99.50, 99.50, 120.53 degrees
Element x y z (fractional)
1 Rb 0.000 0.000 0.000
2 Rb 0.170 0.830 0.500
3 Rb 0.332 0.668 0.000
4 Rb 0.668 0.332 0.000
5 Rb 0.830 0.170 0.500
6 Pd 0.500 0.500 0.500
7 I 0.098 0.414 0.254
8 I 0.311 0.311 0.687
9 I 0.414 0.098 0.254
10 I 0.586 0.902 0.746
11 I 0.689 0.689 0.313
12 I 0.902 0.586 0.746

Summary:
Space group   C2/m (12)
Uncorrected formation energy   -1.14 eV/atom
Magnetic moment   1.009 μB/f.u.
N(E_F)   1.5 states/eV/f.u.

Entry 9:
Below is crystalline Rb2Pd2I7 at its relaxed geometry, with properties calculated at the PBE-GGA level.

Cell lengths 10.318, 10.318, 5.095 Å; angles 93.81, 93.81, 115.68 degrees
Element x y z (fractional)
1 Rb 0.218 0.782 0.000
2 Rb 0.782 0.218 0.000
3 Pd 0.255 0.255 0.594
4 Pd 0.745 0.745 0.406
5 I 0.095 0.402 0.600
6 I 0.167 0.167 0.067
7 I 0.402 0.095 0.600
8 I 0.500 0.500 0.500
9 I 0.598 0.905 0.400
10 I 0.833 0.833 0.933
11 I 0.905 0.598 0.400

Summary:
Space group   C2/m (12)
Uncorrected formation energy   -0.58 eV/atom
Magnetic moment   0.000 μB/f.u.
N(E_F)   4.7 states/eV/f.u.

Entry 10:
Below is crystalline RbPdI4 at its relaxed geometry, with properties calculated at the PBE-GGA level.

Cell lengths 9.339, 9.339, 7.916 Å; angles 105.08, 105.08, 45.41 degrees
Element x y z (fractional)
1 Rb 0.160 0.840 0.750
2 Rb 0.840 0.160 0.250
3 Pd 0.000 0.500 0.000
4 Pd 0.500 0.000 0.500
5 I 0.162 0.241 0.685
6 I 0.241 0.162 0.185
7 I 0.262 0.552 0.087
8 I 0.448 0.738 0.413
9 I 0.552 0.262 0.587
10 I 0.738 0.448 0.913
11 I 0.759 0.838 0.815
12 I 0.838 0.759 0.315

Summary:
Space group   C2/c (15)
Uncorrected formation energy   -0.56 eV/atom
Magnetic moment   0.000 μB/f.u.
N(E_F)   3.0 states/eV/f.u.

Entry 11:
Below is crystalline RbRe2PdI at its relaxed geometry, with properties calculated at the PBE-GGA level.

Cell lengths 4.897, 4.897, 6.884 Å; angles 90.00, 90.00, 90.00 degrees
Element x y z (fractional)
1 Rb 0.000 0.000 0.000
2 Re 0.000 0.500 0.500
3 Re 0.500 0.000 0.500
4 Pd 0.000 0.000 0.500
5 I 0.500 0.500 0.000

Summary:
Space group   P4/mmm (123)
Uncorrected formation energy   1.75 eV/atom
Magnetic moment   5.814 μB/f.u.
N(E_F)   5.5 states/eV/f.u.

Entry 12:
Below is crystalline Rb2PdRuI6 at its relaxed geometry, with properties calculated at the PBE-GGA level.

Cell lengths 7.995, 7.995, 7.995 Å; angles 120.18, 120.18, 89.68 degrees
Element x y z (fractional)
1 Rb 0.250 0.750 0.500
2 Rb 0.750 0.250 0.500
3 Pd 0.000 0.000 0.000
4 Ru 0.500 0.500 0.000
5 I 0.254 0.254 0.508
6 I 0.254 0.746 0.000
7 I 0.255 0.255 0.000
8 I 0.745 0.745 0.000
9 I 0.746 0.254 0.000
10 I 0.746 0.746 0.492

Summary:
Space group   I4/mmm (139)
Uncorrected formation energy   -0.53 eV/atom
Magnetic moment   1.740 μB/f.u.
N(E_F)   6.4 states/eV/f.u.

Entry 13:
Below is crystalline RbSb2PdI at its relaxed geometry, with properties calculated at the PBE-GGA level.

Cell lengths 7.400, 7.400, 6.715 Å; angles 90.00, 90.00, 90.00 degrees
Element x y z (fractional)
1 Rb 0.000 0.000 0.000
2 Sb 0.000 0.500 0.000
3 Sb 0.500 0.000 0.000
4 Pd 0.500 0.500 0.500
5 I 0.000 0.000 0.500

Summary:
Space group   P4/mmm (123)
Uncorrected formation energy   1.32 eV/atom
Magnetic moment   6.147 μB/f.u.
N(E_F)   18.0 states/eV/f.u.

Entry 14:
Below is crystalline RbSbPdI2 at its relaxed geometry, with properties calculated at the PBE-GGA level.

Cell lengths 5.967, 5.967, 5.109 Å; angles 90.00, 90.00, 90.00 degrees
Element x y z (fractional)
1 Rb 0.000 0.000 0.000
2 Sb 0.500 0.500 0.000
3 Pd 0.500 0.500 0.500
4 I 0.000 0.500 0.500
5 I 0.500 0.000 0.500

Summary:
Space group   P4/mmm (123)
Uncorrected formation energy   -0.39 eV/atom
Magnetic moment   0.540 μB/f.u.
N(E_F)   3.3 states/eV/f.u.

Entry 15:
Below is crystalline RbSbPdI2 at its relaxed geometry, with properties calculated at the PBE-GGA level.

Cell lengths 6.853, 6.853, 7.077 Å; angles 90.00, 90.00, 90.00 degrees
Element x y z (fractional)
1 Rb 0.000 0.000 0.000
2 Sb 0.000 0.000 0.500
3 Pd 0.500 0.500 0.500
4 I 0.000 0.500 0.000
5 I 0.500 0.000 0.000

Summary:
Space group   P4/mmm (123)
Uncorrected formation energy   0.82 eV/atom
Magnetic moment   3.739 μB/f.u.
N(E_F)   20.9 states/eV/f.u.

Entry 16:
Below is crystalline RbSb2PdI at its relaxed geometry, with properties calculated at the PBE-GGA level.

Cell lengths 5.072, 5.072, 9.295 Å; angles 90.00, 90.00, 90.00 degrees
Element x y z (fractional)
1 Rb 0.000 0.000 0.000
2 Sb 0.000 0.500 0.500
3 Sb 0.500 0.000 0.500
4 Pd 0.500 0.500 0.500
5 I 0.500 0.500 0.000

Summary:
Space group   P4/mmm (123)
Uncorrected formation energy   -0.21 eV/atom
Magnetic moment   0.000 μB/f.u.
N(E_F)   2.1 states/eV/f.u.

Entry 17:
Below is crystalline Rb2SbPdI at its relaxed geometry, with properties calculated at the PBE-GGA level.

Cell lengths 6.677, 6.677, 6.034 Å; angles 90.00, 90.00, 90.00 degrees
Element x y z (fractional)
1 Rb 0.000 0.500 0.000
2 Rb 0.500 0.000 0.000
3 Sb 0.000 0.000 0.500
4 Pd 0.500 0.500 0.500
5 I 0.000 0.000 0.000

Summary:
Space group   P4/mmm (123)
Uncorrected formation energy   0.27 eV/atom
Magnetic moment   0.000 μB/f.u.
N(E_F)   4.0 states/eV/f.u.

Entry 18:
Below is crystalline RbScPdI6 at its relaxed geometry, with properties calculated at the PBE-GGA level.

Cell lengths 7.305, 7.305, 8.214 Å; angles 94.26, 94.26, 112.17 degrees
Element x y z (fractional)
1 Rb 0.000 0.000 0.000
2 Sc 0.357 0.643 0.500
3 Pd 0.709 0.291 0.500
4 I 0.054 0.329 0.664
5 I 0.068 0.606 0.244
6 I 0.394 0.932 0.756
7 I 0.433 0.333 0.298
8 I 0.667 0.567 0.702
9 I 0.671 0.946 0.336

Summary:
Space group   C2 (5)
Uncorrected formation energy   -0.91 eV/atom
Magnetic moment   0.000 μB/f.u.

Entry 19:
Below is crystalline RbPdSeI2 at its relaxed geometry, with properties calculated at the PBE-GGA level.

Cell lengths 5.345, 5.345, 7.049 Å; angles 90.00, 90.00, 90.00 degrees
Element x y z (fractional)
1 Rb 0.000 0.000 0.000
2 Pd 0.000 0.000 0.500
3 Se 0.500 0.500 0.000
4 I 0.000 0.500 0.500
5 I 0.500 0.000 0.500

Summary:
Space group   P4/mmm (123)
Uncorrected formation energy   -0.11 eV/atom
Magnetic moment   1.751 μB/f.u.
N(E_F)   6.3 states/eV/f.u.